PBE AcHgPt, relaxed; uncorrected energy = -4.225 eV/atom; SG = P3m1; total magnetization = 0.000 μB per cell; distance to the lowest polymorph of the same formula = 30 meV/atom; Fermi-level density of states = 3.06 states/eV per cell; ΔE_f = -17.1 kcal/mol of atoms
1.0
4.036 0.000 0.000
0.000 4.811 0.000
0.000 -2.405 4.166
Pt Ac Hg
1 1 1
Direct
0.166 0.000 0.000
0.667 0.667 0.333
0.167 0.333 0.667